[1]
Compound: DyYTm2
Source: OQMD via LeMat-Bulk
Functional: PBE
Structure: optimized geometry

a b c (Å): 5.5820 7.1890 12.4569
angles (deg): 90.00 90.00 90.00
Space group Amm2 (No. 38)
Asymmetric unit:
Dy 0.0000 0.0000 0.0000 (multiplicity 2)
Dy 0.5000 0.0000 0.3338 (multiplicity 2)
Y 0.0000 0.2494 0.7501 (multiplicity 4)
Tm 0.0000 0.0000 0.5004 (multiplicity 2)
Tm 0.5000 0.0000 0.8334 (multiplicity 2)
Tm 0.5000 0.2493 0.5833 (multiplicity 4)

Calculated values
E_form = 0.0035 eV per atom
Crystal system = orthorhombic
Total moment = 0.004 μB/atom

[2]
Compound: DyTmZn6
Source: OQMD via LeMat-Bulk
Functional: PBE
Structure: optimized geometry

a b c (Å): 4.6457 6.5627 4.6453
angles (deg): 90.00 90.00 90.00
Space group Pmm2 (No. 25)
Asymmetric unit:
Dy 0.0000 0.0000 0.0000 (multiplicity 1)
Tm 0.5000 0.5000 0.5062 (multiplicity 1)
Zn 0.0000 0.2534 0.4990 (multiplicity 2)
Zn 0.0000 0.5000 0.0007 (multiplicity 1)
Zn 0.5000 0.0000 0.5048 (multiplicity 1)
Zn 0.5000 0.2534 0.0070 (multiplicity 2)

Calculated values
E_form = -0.2871 eV per atom
Crystal system = orthorhombic
Total moment = 0.000 μB/atom

- Which formula does entry 1 have?
  DyYTm2

- Which of these has the lowest E_form?
  DyTmZn6

- total moment of number 2 (DyTmZn6)?
  0.000 μB/atom

- Which value of total moment does entry 1 give?
  0.004 μB/atom